{"formula": "MgSb2Pt2", "functional": "PBE", "state": "optimized geometry", "energy_ev_per_atom": -4.740, "formation_energy_uncorrected_ev_per_atom": -0.36, "relative_energy_mev_per_atom": 0, "lattice_angstrom": [[-1.444, -5.388, -4.674], [7.133, -1.081, -0.956], [0.007, -2.543, 2.929]], "species": ["Pt", "Mg", "Pt", "Mg", "Sb", "Pt", "Sb", "Sb", "Sb", "Pt"], "frac_coords": [[0.361, 0.861, 0.000], [0.000, 0.000, 0.000], [0.861, 0.639, 0.000], [0.500, 0.500, 0.000], [0.331, 0.169, 0.500], [0.639, 0.139, 0.000], [0.169, 0.669, 0.500], [0.669, 0.831, 0.500], [0.831, 0.331, 0.500], [0.139, 0.361, 0.000]]}


{"formula": "MgSb2Pt9", "functional": "PBE", "state": "optimized geometry", "energy_ev_per_atom": -5.706, "formation_energy_uncorrected_ev_per_atom": -0.36, "lattice_angstrom": [[4.035, 0.000, 0.000], [0.000, 4.035, 0.000], [0.000, 0.000, 12.177]], "species": ["Pt", "Pt", "Pt", "Sb", "Mg", "Pt", "Pt", "Sb", "Pt", "Pt", "Pt", "Pt"], "frac_coords": [[0.500, 0.000, 0.162], [0.500, 0.500, 0.336], [0.500, 0.500, 0.000], [0.000, 0.000, 0.679], [0.000, 0.000, 0.000], [0.500, 0.000, 0.838], [0.000, 0.500, 0.500], [0.000, 0.000, 0.321], [0.500, 0.500, 0.664], [0.000, 0.500, 0.838], [0.000, 0.500, 0.162], [0.500, 0.000, 0.500]]}


{"formula": "Mg2SbPt5", "functional": "PBE", "state": "optimized geometry", "energy_ev_per_atom": -5.340, "formation_energy_uncorrected_ev_per_atom": -0.65, "lattice_angstrom": [[-0.362, 2.888, 2.860], [-5.598, -0.878, 0.178], [1.477, -7.788, 8.052]], "species": ["Sb", "Pt", "Mg", "Mg", "Sb", "Pt", "Pt", "Pt", "Pt", "Mg", "Pt", "Pt", "Pt", "Pt", "Pt", "Mg"], "frac_coords": [[0.000, 0.000, 0.500], [0.500, 0.282, 0.116], [0.500, 0.693, 0.642], [0.500, 0.807, 0.142], [0.000, 0.500, 0.000], [0.000, 0.548, 0.245], [0.000, 0.452, 0.755], [0.500, 0.218, 0.616], [0.000, 0.952, 0.745], [0.500, 0.307, 0.358], [0.500, 0.782, 0.384], [0.500, 0.718, 0.884], [0.000, 0.500, 0.500], [0.000, 0.048, 0.255], [0.000, 0.000, 0.000], [0.500, 0.193, 0.858]]}